The following is a GGA-PBE calculation of a geometry-optimized Na5Zn2In12 structure, from Alexandria via LeMat-Bulk.

Structure (CIF):
```
data_Na5Zn2In12
_chemical_formula_sum 'Na10 Zn4 In24'
_cell_length_a 14.2289
_cell_length_b 9.5287
_cell_length_c 7.3252
_cell_angle_alpha 90.00
_cell_angle_beta 90.24
_cell_angle_gamma 90.00
_space_group_name_H-M_alt 'C 1 2/m 1'
_space_group_IT_number 12
_space_group_name_Hall '-C 2y'
loop_
_atom_site_label
_atom_site_type_symbol
_atom_site_fract_x
_atom_site_fract_y
_atom_site_fract_z
_atom_site_occupancy
Na1 Na 0.0000 0.0000 0.0000 1
Na2 Na 0.1816 0.5000 0.4733 1
Na3 Na 0.2384 0.5000 0.9473 1
Zn1 Zn 0.0000 0.2789 0.5000 1
In1 In 0.0215 0.5000 0.7876 1
In2 In 0.0995 0.0000 0.4264 1
In3 In 0.1259 0.2569 0.1756 1
In4 In 0.1514 0.2034 0.7527 1
```

Results
Total energy in eV per atom: -2.255
Mass density in g cm⁻³: 5.43

=====

The following is a GGA-PBE calculation of a geometry-optimized Na3ZnIn structure, from Alexandria via LeMat-Bulk.

Structure (CIF):
```
data_Na3ZnIn
_chemical_formula_sum 'Na12 Zn4 In4'
_cell_length_a 11.6334
_cell_length_b 9.0188
_cell_length_c 7.7138
_cell_angle_alpha 90.00
_cell_angle_beta 130.89
_cell_angle_gamma 90.00
_space_group_name_H-M_alt 'C 1 2/m 1'
_space_group_IT_number 12
_space_group_name_Hall '-C 2y'
loop_
_atom_site_label
_atom_site_type_symbol
_atom_site_fract_x
_atom_site_fract_y
_atom_site_fract_z
_atom_site_occupancy
Na1 Na 0.0520 0.0000 0.2819 1
Na2 Na 0.2049 0.3126 0.1729 1
Zn1 Zn 0.2261 0.5000 0.8511 1
In1 In 0.0765 0.5000 0.3858 1
```

Results
Total energy in eV per atom: -1.559
Mass density in g cm⁻³: 2.71
Polymorph energy (0 for the lowest one) in meV/atom: 0

=====

The following is a GGA-PBE calculation of a geometry-optimized NaZn2In8 structure, from Alexandria via LeMat-Bulk.

Structure (CIF):
```
data_NaZn2In8
_chemical_formula_sum 'Na1 Zn2 In8'
_cell_length_a 6.8622
_cell_length_b 6.8622
_cell_length_c 6.3593
_cell_angle_alpha 90.00
_cell_angle_beta 90.00
_cell_angle_gamma 90.00
_space_group_name_H-M_alt 'P 4/m m m'
_space_group_IT_number 123
_space_group_name_Hall '-P 4 2'
loop_
_atom_site_label
_atom_site_type_symbol
_atom_site_fract_x
_atom_site_fract_y
_atom_site_fract_z
_atom_site_occupancy
Na1 Na 0.0000 0.0000 0.0000 1
Zn1 Zn 0.0000 0.5000 0.5000 1
In1 In 0.2729 0.2729 0.2440 1
```

Results
Total energy in eV per atom: -2.235
Mass density in g cm⁻³: 5.95

=====

The following is a GGA-PBE calculation of a geometry-optimized Na3Zn2In2 structure, from Alexandria via LeMat-Bulk.

Structure (CIF):
```
data_Na3Zn2In2
_chemical_formula_sum 'Na6 Zn4 In4'
_cell_length_a 8.5399
_cell_length_b 4.9883
_cell_length_c 8.3089
_cell_angle_alpha 90.00
_cell_angle_beta 110.55
_cell_angle_gamma 90.00
_space_group_name_H-M_alt 'C 1 2/m 1'
_space_group_IT_number 12
_space_group_name_Hall '-C 2y'
loop_
_atom_site_label
_atom_site_type_symbol
_atom_site_fract_x
_atom_site_fract_y
_atom_site_fract_z
_atom_site_occupancy
Na1 Na 0.0000 0.0000 0.0000 1
Na2 Na 0.1389 0.0000 0.4137 1
Zn1 Zn 0.2304 0.5000 0.1865 1
In1 In 0.0963 0.5000 0.7922 1
```

Results
Total energy in eV per atom: -1.768
Mass density in g cm⁻³: 4.30

=====

The following is a GGA-PBE calculation of a geometry-optimized NaZnIn structure, from Alexandria via LeMat-Bulk.

Structure (CIF):
```
data_NaZnIn
_chemical_formula_sum 'Na2 Zn2 In2'
_cell_length_a 5.2224
_cell_length_b 5.2228
_cell_length_c 6.1860
_cell_angle_alpha 103.28
_cell_angle_beta 103.19
_cell_angle_gamma 117.08
_space_group_name_H-M_alt 'P -1'
_space_group_IT_number 2
_space_group_name_Hall '-P 1'
loop_
_atom_site_label
_atom_site_type_symbol
_atom_site_fract_x
_atom_site_fract_y
_atom_site_fract_z
_atom_site_occupancy
Na1 Na 0.1671 0.3332 0.0007 1
Zn1 Zn 0.2501 0.2503 0.5003 1
In1 In 0.3567 0.8568 0.7144 1
```

Results
Total energy in eV per atom: -1.835
Mass density in g cm⁻³: 5.00
Polymorph energy (0 for the lowest one) in meV/atom: 1

=====

The following is a GGA-PBE calculation of a geometry-optimized Na2ZnIn8 structure, from Alexandria via LeMat-Bulk.

Structure (CIF):
```
data_Na2ZnIn8
_chemical_formula_sum 'Na2 Zn1 In8'
_cell_length_a 4.8498
_cell_length_b 4.8498
_cell_length_c 12.1232
_cell_angle_alpha 90.00
_cell_angle_beta 90.00
_cell_angle_gamma 90.00
_space_group_name_H-M_alt 'P 4/m m m'
_space_group_IT_number 123
_space_group_name_Hall '-P 4 2'
loop_
_atom_site_label
_atom_site_type_symbol
_atom_site_fract_x
_atom_site_fract_y
_atom_site_fract_z
_atom_site_occupancy
Na1 Na 0.0000 0.0000 0.1855 1
Zn1 Zn 0.0000 0.0000 0.5000 1
In1 In 0.0000 0.5000 0.0000 1
In2 In 0.0000 0.5000 0.3694 1
In3 In 0.5000 0.5000 0.1873 1
```

Results
Total energy in eV per atom: -2.401
Mass density in g cm⁻³: 6.00

=====

The following is a GGA-PBE calculation of a geometry-optimized Na3Zn8In structure, from Alexandria via LeMat-Bulk.

Structure (CIF):
```
data_Na3Zn8In
_chemical_formula_sum 'Na6 Zn16 In2'
_cell_length_a 9.5179
_cell_length_b 5.3756
_cell_length_c 9.3663
_cell_angle_alpha 90.00
_cell_angle_beta 110.33
_cell_angle_gamma 90.00
_space_group_name_H-M_alt 'C 1 m 1'
_space_group_IT_number 8
_space_group_name_Hall 'C -2y'
loop_
_atom_site_label
_atom_site_type_symbol
_atom_site_fract_x
_atom_site_fract_y
_atom_site_fract_z
_atom_site_occupancy
Na1 Na 0.0000 0.0000 0.0000 1
Na2 Na 0.0013 0.5000 0.4999 1
Na3 Na 0.1254 0.0000 0.3758 1
Zn1 Zn 0.0625 0.0000 0.6869 1
Zn2 Zn 0.0625 0.5000 0.1875 1
Zn3 Zn 0.3122 0.2486 0.1878 1
Zn4 Zn 0.3139 0.0000 0.9398 1
Zn5 Zn 0.3138 0.2496 0.6873 1
Zn6 Zn 0.3137 0.5000 0.4367 1
In1 In 0.1246 0.5000 0.8746 1
```

Results
Total energy in eV per atom: -1.430
Mass density in g cm⁻³: 5.23

=====

The following is a GGA-PBE calculation of a geometry-optimized Na2Zn3In5 structure, from Alexandria via LeMat-Bulk.

Structure (CIF):
```
data_Na2Zn3In5
_chemical_formula_sum 'Na8 Zn12 In20'
_cell_length_a 4.6410
_cell_length_b 27.1246
_cell_length_c 7.5142
_cell_angle_alpha 90.00
_cell_angle_beta 90.00
_cell_angle_gamma 90.00
_space_group_name_H-M_alt 'C m c 21'
_space_group_IT_number 36
_space_group_name_Hall 'C 2c -2'
loop_
_atom_site_label
_atom_site_type_symbol
_atom_site_fract_x
_atom_site_fract_y
_atom_site_fract_z
_atom_site_occupancy
Na1 Na 0.0000 0.0206 0.0000 1
Na2 Na 0.0000 0.3245 0.0600 1
Zn1 Zn 0.0000 0.1103 0.7463 1
Zn2 Zn 0.0000 0.2735 0.5619 1
Zn3 Zn 0.0000 0.4573 0.7850 1
In1 In 0.0000 0.0969 0.3597 1
In2 In 0.0000 0.2051 0.2707 1
In3 In 0.0000 0.2074 0.8545 1
In4 In 0.0000 0.3794 0.5220 1
In5 In 0.0000 0.4454 0.1708 1
```

Results
Total energy in eV per atom: -2.070
Mass density in g cm⁻³: 5.73
Polymorph energy (0 for the lowest one) in meV/atom: 0

=====

The following is a GGA-PBE calculation of a geometry-optimized NaZrIn structure, from Alexandria via LeMat-Bulk.

Structure (CIF):
```
data_NaZrIn
_chemical_formula_sum 'Na2 Zr2 In2'
_cell_length_a 4.8076
_cell_length_b 4.8076
_cell_length_c 11.4735
_cell_angle_alpha 90.00
_cell_angle_beta 90.00
_cell_angle_gamma 120.00
_space_group_name_H-M_alt 'P 63/m m c'
_space_group_IT_number 194
_space_group_name_Hall '-P 6c 2c'
loop_
_atom_site_label
_atom_site_type_symbol
_atom_site_fract_x
_atom_site_fract_y
_atom_site_fract_z
_atom_site_occupancy
Na1 Na 0.3333 0.6667 0.2500 1
Zr1 Zr 0.0000 0.0000 0.0000 1
In1 In 0.0000 0.0000 0.2500 1
```

Results
Total energy in eV per atom: -2.952
Mass density in g cm⁻³: 3.31
Polymorph energy (0 for the lowest one) in meV/atom: 1369

=====

The following is a GGA-PBE calculation of a geometry-optimized NaZrIn structure, from Alexandria via LeMat-Bulk.

Structure (CIF):
```
data_NaZrIn
_chemical_formula_sum 'Na4 Zr4 In4'
_cell_length_a 5.4305
_cell_length_b 3.2498
_cell_length_c 16.2802
_cell_angle_alpha 90.00
_cell_angle_beta 90.00
_cell_angle_gamma 90.00
_space_group_name_H-M_alt 'A m m 2'
_space_group_IT_number 38
_space_group_name_Hall 'A 2 -2'
loop_
_atom_site_label
_atom_site_type_symbol
_atom_site_fract_x
_atom_site_fract_y
_atom_site_fract_z
_atom_site_occupancy
Na1 Na 0.0000 0.0000 0.0000 1
Na2 Na 0.0000 0.0000 0.3344 1
Zr1 Zr 0.5000 0.0000 0.2130 1
Zr2 Zr 0.5000 0.0000 0.5573 1
In1 In 0.0000 0.0000 0.6637 1
In2 In 0.5000 0.0000 0.8865 1
```

Results
Total energy in eV per atom: -4.204
Mass density in g cm⁻³: 5.29
Polymorph energy (0 for the lowest one) in meV/atom: 117

=====

Number 1: total moment 0.000 μB per atom. Number 2: total moment 0.000 μB per atom. Number 3: total moment 0.000 μB per atom. Number 4: total moment 0.000 μB per atom. Number 5: total moment 0.000 μB per atom. Number 6: total moment 0.000 μB per atom. Number 7: total moment 0.000 μB per atom. Number 8: total moment 0.000 μB per atom. Number 9: total moment 0.612 μB per atom. Number 10: total moment 0.000 μB per atom.